Ti4HS3 after structural relaxation, computed with GGA-PBE.

Calculated values
DOS at the Fermi energy: 12.55 states/eV per cell
crystal system: orthorhombic
E: -110.8 eV for the cell shown

Unit cell a=9.333 b=5.273 c=4.671 alpha=90.00 beta=90.00 gamma=90.00
Space group Pmn2_1 (No. 31)
Symmetry-distinct sites (fractional):
Ti  0.000  0.169  0.000 x2
Ti  0.000  0.824  0.510 x2
Ti  0.248  0.824  0.999 x4
H  0.000  0.813  0.965 x2
S  0.000  0.308  0.500 x2
S  0.246  0.700  0.500 x4

***

YTiHS2 after structural relaxation, computed with GGA-PBE.

Calculated values
DOS at the Fermi energy: 3.51 states/eV per cell
crystal system: tetragonal
E: -31.9 eV for the cell shown

Unit cell a=4.771 b=4.771 c=3.558 alpha=90.00 beta=90.00 gamma=90.00
Space group P4/mmm (No. 123)
Symmetry-distinct sites (fractional):
Y  0.000  0.000  0.000 x1
Ti  0.500  0.500  0.500 x1
H  0.500  0.500  0.000 x1
S  0.000  0.500  0.500 x2

***

TlH2S after structural relaxation, computed with GGA-PBE.

Calculated values
DOS at the Fermi energy: 9.93 states/eV per cell
energy above the most stable polymorph in this dataset: 914 meV/atom
crystal system: cubic
E: -38.7 eV for the cell shown

Unit cell a=5.944 b=5.944 c=5.944 alpha=90.00 beta=90.00 gamma=90.00
Space group Fm-3m (No. 225)
Symmetry-distinct sites (fractional):
Tl  0.000  0.000  0.000 x4
H  0.250  0.250  0.250 x8
S  0.000  0.000  0.500 x4

***

Tl3HS2 after structural relaxation, computed with GGA-PBE.

Calculated values
crystal system: monoclinic
E: -80.3 eV for the cell shown

Unit cell a=22.725 b=4.526 c=7.427 alpha=90.00 beta=97.25 gamma=90.00
Space group C2/m (No. 12)
Symmetry-distinct sites (fractional):
Tl  0.064  0.000  0.203 x4
Tl  0.073  0.500  0.597 x4
Tl  0.193  0.500  0.242 x4
H  0.192  0.500  0.815 x4
S  0.061  0.000  0.821 x4
S  0.223  0.500  0.669 x4

***

Tl3HS after structural relaxation, computed with GGA-PBE.

Calculated values
DOS at the Fermi energy: 0.21 states/eV per cell
energy above the most stable polymorph in this dataset: 0 meV/atom
crystal system: cubic
E: -14.1 eV for the cell shown

Unit cell a=4.988 b=4.988 c=4.988 alpha=90.00 beta=90.00 gamma=90.00
Space group Pm-3m (No. 221)
Symmetry-distinct sites (fractional):
Tl  0.000  0.000  0.500 x3
H  0.000  0.000  0.000 x1
S  0.500  0.500  0.500 x1

***

TlH2S8 after structural relaxation, computed with GGA-PBE.

Calculated values
DOS at the Fermi energy: 3.79 states/eV per cell
crystal system: triclinic
E: -41.3 eV for the cell shown

Unit cell a=4.464 b=5.118 c=12.115 alpha=96.47 beta=95.93 gamma=95.42
Space group P-1 (No. 2)
Symmetry-distinct sites (fractional):
Tl  0.000  0.000  0.000 x1
H  0.378  0.594  0.649 x2
S  0.133  0.945  0.713 x2
S  0.417  0.583  0.378 x2
S  0.421  0.579  0.933 x2
S  0.492  0.811  0.248 x2

***

What is the E in the first record?
-110.8 eV for the cell shown

***

E of number 1 (Ti4HS3)?
-110.8 eV for the cell shown

***

Please write out number 3 again, unchanged.
TlH2S after structural relaxation, computed with GGA-PBE.

Calculated values
DOS at the Fermi energy: 9.93 states/eV per cell
energy above the most stable polymorph in this dataset: 914 meV/atom
crystal system: cubic
E: -38.7 eV for the cell shown

Unit cell a=5.944 b=5.944 c=5.944 alpha=90.00 beta=90.00 gamma=90.00
Space group Fm-3m (No. 225)
Symmetry-distinct sites (fractional):
Tl  0.000  0.000  0.000 x4
H  0.250  0.250  0.250 x8
S  0.000  0.000  0.500 x4